1.
First-principles (PBE) data for a relaxed structure of CsNiHgAs, as listed in Alexandria.

Output
Calculated formation energy, kJ/mol of atoms: -30
D(E_F), states/eV per cell: 4.64
SG: P4/nmm (129)

a b c (Å): 4.241 4.241 13.451
angles (deg): 90.00 90.00 90.00
Positions (direct):
Cs 0.250 0.250 0.239
Cs 0.750 0.750 0.761
Ni 0.250 0.750 0.000
Ni 0.750 0.250 0.000
Hg 0.250 0.750 0.500
Hg 0.750 0.250 0.500
As 0.250 0.250 0.921
As 0.750 0.750 0.079

---

2.
First-principles (PBE) data for a relaxed structure of TbTmInPb, as listed in Alexandria.

Output
Calculated formation energy, kJ/mol of atoms: -37
D(E_F), states/eV per cell: 15.62
SG: F-43m (216)

a b c (Å): 7.599 7.599 7.599
angles (deg): 90.00 90.00 90.00
Positions (direct):
Tb 0.000 0.000 0.000
Tb 0.000 0.500 0.500
Tb 0.500 0.000 0.500
Tb 0.500 0.500 0.000
Tm 0.000 0.000 0.500
Tm 0.000 0.500 0.000
Tm 0.500 0.000 0.000
Tm 0.500 0.500 0.500
In 0.250 0.250 0.250
In 0.250 0.750 0.750
In 0.750 0.250 0.750
In 0.750 0.750 0.250
Pb 0.250 0.250 0.750
Pb 0.250 0.750 0.250
Pb 0.750 0.250 0.250
Pb 0.750 0.750 0.750

---

3.
First-principles (PBE) data for a relaxed structure of In2PtSe, as listed in Alexandria.

Output
D(E_F), states/eV per cell: 1.83
Energy relative to the elements, uncorrected, meV/atom: 73
SG: I-4m2 (119)

a b c (Å): 4.994 4.994 6.924
angles (deg): 90.00 90.00 90.00
Positions (direct):
In 0.000 0.000 0.000
In 0.000 0.500 0.250
In 0.500 0.000 0.750
In 0.500 0.500 0.500
Pt 0.000 0.000 0.500
Pt 0.500 0.500 0.000
Se 0.000 0.500 0.750
Se 0.500 0.000 0.250

---

4.
First-principles (PBE) data for a relaxed structure of Li2MnAu4, as listed in Alexandria.

Output
Calculated formation energy, kJ/mol of atoms: -24
D(E_F), states/eV per cell: 5.20
SG: I4/mmm (139)

a b c (Å): 5.780 5.780 7.304
angles (deg): 90.00 90.00 90.00
Positions (direct):
Li 0.000 0.500 0.000
Li 0.000 0.500 0.500
Li 0.500 0.000 0.000
Li 0.500 0.000 0.500
Mn 0.000 0.000 0.000
Mn 0.500 0.500 0.500
Au 0.250 0.250 0.250
Au 0.250 0.250 0.750
Au 0.250 0.750 0.250
Au 0.250 0.750 0.750
Au 0.750 0.250 0.250
Au 0.750 0.250 0.750
Au 0.750 0.750 0.250
Au 0.750 0.750 0.750

---

5.
First-principles (PBE) data for a relaxed structure of BaMg6Ga3, as listed in Alexandria.

Output
Calculated formation energy, kJ/mol of atoms: -9
D(E_F), states/eV per cell: 10.14
SG: P2_1/m (11)

a b c (Å): 10.252 4.532 11.127
angles (deg): 90.00 99.65 90.00
Positions (direct):
Ba 0.014 0.250 0.194
Ba 0.986 0.750 0.806
Mg 0.112 0.750 0.475
Mg 0.241 0.250 0.953
Mg 0.242 0.250 0.677
Mg 0.365 0.250 0.218
Mg 0.419 0.750 0.559
Mg 0.481 0.750 0.092
Mg 0.519 0.250 0.908
Mg 0.581 0.250 0.441
Mg 0.635 0.750 0.782
Mg 0.758 0.750 0.323
Mg 0.759 0.750 0.047
Mg 0.888 0.250 0.525
Ga 0.212 0.750 0.087
Ga 0.287 0.250 0.440
Ga 0.344 0.750 0.828
Ga 0.656 0.250 0.172
Ga 0.713 0.750 0.560
Ga 0.788 0.250 0.913

---

6.
First-principles (PBE) data for a relaxed structure of Ag2HgAu3, as listed in Alexandria.

Output
Calculated formation energy, kJ/mol of atoms: 0
D(E_F), states/eV per cell: 2.36
SG: Cmmm (65)

a b c (Å): 4.257 12.204 4.294
angles (deg): 90.00 90.00 90.00
Positions (direct):
Ag 0.000 0.168 0.000
Ag 0.000 0.832 0.000
Ag 0.500 0.332 0.000
Ag 0.500 0.668 0.000
Hg 0.000 0.500 0.000
Hg 0.500 0.000 0.000
Au 0.000 0.000 0.500
Au 0.000 0.331 0.500
Au 0.000 0.669 0.500
Au 0.500 0.169 0.500
Au 0.500 0.500 0.500
Au 0.500 0.831 0.500

---

7.
First-principles (PBE) data for a relaxed structure of TlCuI2F, as listed in Alexandria.

Output
D(E_F), states/eV per cell: 3.24
Energy relative to the elements, uncorrected, meV/atom: -677
SG: P4/mmm (123)

a b c (Å): 5.693 5.693 4.053
angles (deg): 90.00 90.00 90.00
Positions (direct):
Tl 0.000 0.000 0.000
Cu 0.500 0.500 0.500
I 0.000 0.500 0.500
I 0.500 0.000 0.500
F 0.500 0.500 0.000

---

8.
First-principles (PBE) data for a relaxed structure of LaTa, as listed in Alexandria.

Output
Calculated formation energy, kJ/mol of atoms: 64
D(E_F), states/eV per cell: 2.43
SG: P-6m2 (187)

a b c (Å): 3.150 3.150 5.586
angles (deg): 90.00 90.00 120.00
Positions (direct):
La 0.000 0.000 0.000
Ta 0.333 0.667 0.500

---

9.
First-principles (PBE) data for a relaxed structure of GePtRh, as listed in Alexandria.

Output
Calculated formation energy, kJ/mol of atoms: -28
D(E_F), states/eV per cell: 1.87
SG: P3m1 (156)

a b c (Å): 4.185 4.185 3.033
angles (deg): 90.00 90.00 120.00
Positions (direct):
Ge 0.000 0.000 0.000
Pt 0.333 0.667 0.750
Rh 0.667 0.333 0.269

---

10.
First-principles (PBE) data for a relaxed structure of CsMg2CdPb4, as listed in Alexandria.

Output
Calculated formation energy, kJ/mol of atoms: -4
D(E_F), states/eV per cell: 4.64
SG: R-3m (166)

a b c (Å): 11.518 11.518 11.518
angles (deg): 26.78 26.78 26.78
Positions (direct):
Cs 0.000 0.000 0.000
Mg 0.232 0.232 0.232
Mg 0.768 0.768 0.768
Cd 0.500 0.500 0.500
Pb 0.131 0.131 0.131
Pb 0.410 0.410 0.410
Pb 0.590 0.590 0.590
Pb 0.869 0.869 0.869

---

11.
First-principles (PBE) data for a relaxed structure of YLuRuAu, as listed in Alexandria.

Output
Calculated formation energy, kJ/mol of atoms: -59
D(E_F), states/eV per cell: 7.88
SG: F-43m (216)

a b c (Å): 6.939 6.939 6.939
angles (deg): 90.00 90.00 90.00
Positions (direct):
Y 0.000 0.000 0.000
Y 0.000 0.500 0.500
Y 0.500 0.000 0.500
Y 0.500 0.500 0.000
Lu 0.000 0.000 0.500
Lu 0.000 0.500 0.000
Lu 0.500 0.000 0.000
Lu 0.500 0.500 0.500
Ru 0.250 0.250 0.250
Ru 0.250 0.750 0.750
Ru 0.750 0.250 0.750
Ru 0.750 0.750 0.250
Au 0.250 0.250 0.750
Au 0.250 0.750 0.250
Au 0.750 0.250 0.250
Au 0.750 0.750 0.750

---

12.
First-principles (PBE) data for a relaxed structure of CePrNi2, as listed in Alexandria.

Output
Calculated formation energy, kJ/mol of atoms: -18
D(E_F), states/eV per cell: 9.45
SG: R-3m (166)

a b c (Å): 3.982 3.982 19.890
angles (deg): 90.00 90.00 120.00
Positions (direct):
Ce 0.000 0.000 0.000
Ce 0.333 0.667 0.667
Ce 0.667 0.333 0.333
Pr 0.000 0.000 0.500
Pr 0.333 0.667 0.167
Pr 0.667 0.333 0.833
Ni 0.000 0.000 0.257
Ni 0.000 0.000 0.743
Ni 0.333 0.667 0.409
Ni 0.333 0.667 0.924
Ni 0.667 0.333 0.076
Ni 0.667 0.333 0.591